Computed, not measured: a relaxed structure of HfPa2In2 at the PBE level of DFT.

Values from the calculation:
- ΔH_f (0 K): -36 kJ/mol of formula units
- ρ: 12307 kg/m3
- Space-group type: I4/mmm, No. 139
- V: 117 Å³/cell
- Magnetic moment: 0.0 μB per cell

abc: 3.1040 3.1040 12.3818
angles: 97.20 97.20 90.00
Sites, in units of the cell vectors:
Hf  0.0000  0.0000  0.0000
Pa  0.8022  0.8022  0.6043
Pa  0.1978  0.1978  0.3957
In  0.5919  0.5919  0.1838
In  0.4081  0.4081  0.8162

---

Computed, not measured: a relaxed structure of CoSeBr2 at the PBE level of DFT.

Values from the calculation:
- ρ: 4720 kg/m3
- Formation energy from raw total energies: 340 meV/atom
- Space-group type: Cmmm, No. 65
- V: 105 Å³/cell
- Magnetic moment: 1.6 μB per cell

abc: 3.5521 3.5521 10.1282
angles: 90.00 90.00 124.95
Sites, in units of the cell vectors:
Br  0.0000  0.0000  0.0872
Br  0.0000  0.0000  0.4128
Co  0.5000  0.5000  0.2500
Se  0.5000  0.5000  0.7500

---

Computed, not measured: a relaxed structure of Te2WBr at the PBE level of DFT.

Values from the calculation:
- ρ: 8208 kg/m3
- Formation energy from raw total energies: 226 meV/atom
- Space-group type: R3m, No. 160
- V: 105 Å³/cell
- Magnetic moment: 0.0 μB per cell

abc: 11.0834 11.0834 11.0834
angles: 17.29 17.29 17.29
Sites, in units of the cell vectors:
Te  0.9995  0.9995  0.9995
Te  0.2253  0.2253  0.2253
Br  0.7756  0.7756  0.7756
W  0.4996  0.4996  0.4996

---

no.,total DFT energy (no corrections) (eV per atom)
1,-6.96
2,-3.14
3,-5.00